1.
La3Sm12Pu PBE optimized geometry; electronic total energy = -5.312 eV/atom; DFT formation energy = 47 meV/atom
1.0
5.150 0.000 0.000
0.000 5.150 0.000
0.000 0.000 20.527
La Sm Pu
3 12 1
direct
0.000 0.000 0.000
0.000 0.000 0.253
0.000 0.000 0.747
0.000 0.500 0.127
0.000 0.500 0.381
0.000 0.500 0.619
0.000 0.500 0.873
0.500 0.000 0.127
0.500 0.000 0.381
0.500 0.000 0.619
0.500 0.000 0.873
0.500 0.500 0.000
0.500 0.500 0.254
0.500 0.500 0.500
0.500 0.500 0.746
0.000 0.000 0.500

2.
La4Sm3Pu PBE optimized geometry; electronic total energy = -5.888 eV/atom; DFT formation energy = 137 meV/atom
1.0
-1.774 5.869 6.607
1.774 -5.869 6.607
1.774 5.869 -6.607
La Sm Pu
4 3 1
direct
0.118 0.871 0.247
0.376 0.129 0.247
0.624 0.871 0.753
0.882 0.129 0.753
0.229 0.729 0.500
0.500 0.500 0.000
0.771 0.271 0.500
0.000 0.000 0.000

3.
LaSmPu4 PBE optimized geometry; electronic total energy = -10.923 eV/atom; DFT formation energy = 239 meV/atom
1.0
0.000 4.403 4.403
4.403 0.000 4.403
4.403 4.403 0.000
La Sm Pu
1 1 4
direct
0.000 0.000 0.000
0.750 0.750 0.750
0.375 0.375 0.375
0.375 0.375 0.875
0.375 0.875 0.375
0.875 0.375 0.375